The following is a DFT calculation (PBE) of a geometry-optimized La2Nd6YTm structure.

Summary:
Total energy: -4.8289 eV per atom
Symmetry: C2/c, No. 15

Unit cell a=8.9577 b=8.9577 c=10.0623 alpha=95.01 beta=95.01 gamma=118.20
Closest atoms and distances in Å follow each position.
Positions (direct):
La (0.1956, 0.2963, 0.0412)  5 Nd 3.28-3.60, 2 Y 3.43-3.48, 1 Tm 3.63
La (0.2963, 0.1956, 0.5412)  5 Nd 3.28-3.60, 2 Y 3.43-3.48, 1 Tm 3.63
La (0.7037, 0.8044, 0.4588)  5 Nd 3.28-3.60, 2 Y 3.43-3.48, 1 Tm 3.63
La (0.8044, 0.7037, 0.9588)  5 Nd 3.28-3.60, 2 Y 3.43-3.48, 1 Tm 3.63
Nd (0.0181, 0.5803, 0.1899)  5 Nd 3.38-3.78, 1 La 3.46, 1 Tm 3.49, 1 Y 3.65
Nd (0.1249, 0.7451, 0.5551)  8 Nd 3.49-3.90, 1 La 3.60, 1 Y 3.69, 1 Tm 3.85
Nd (0.2549, 0.8751, 0.9449)  8 Nd 3.49-3.90, 1 La 3.60, 1 Y 3.69, 1 Tm 3.85
Nd (0.2930, 0.4969, 0.3791)  3 La 3.28-3.53, 4 Nd 3.38-3.65, 1 Tm 3.49
Nd (0.4197, 0.9819, 0.3101)  5 Nd 3.38-3.78, 1 La 3.46, 1 Tm 3.49, 1 Y 3.65
Nd (0.4969, 0.2930, 0.8791)  3 La 3.28-3.53, 4 Nd 3.38-3.65, 1 Tm 3.49
Nd (0.5031, 0.7070, 0.1209)  3 La 3.28-3.53, 4 Nd 3.38-3.65, 1 Tm 3.49
Nd (0.5803, 0.0181, 0.6899)  5 Nd 3.38-3.78, 1 La 3.46, 1 Tm 3.49, 1 Y 3.65
Nd (0.7070, 0.5031, 0.6209)  3 La 3.28-3.53, 4 Nd 3.38-3.65, 1 Tm 3.49
Nd (0.7451, 0.1249, 0.0551)  8 Nd 3.49-3.90, 1 La 3.60, 1 Y 3.69, 1 Tm 3.85
Nd (0.8751, 0.2549, 0.4449)  8 Nd 3.49-3.90, 1 La 3.60, 1 Y 3.69, 1 Tm 3.85
Nd (0.9819, 0.4197, 0.8101)  5 Nd 3.38-3.78, 1 La 3.46, 1 Tm 3.49, 1 Y 3.65
Y (0.0140, 0.9860, 0.2500)  4 La 3.43-3.48, 4 Nd 3.65-3.69
Y (0.9860, 0.0140, 0.7500)  4 La 3.43-3.48, 4 Nd 3.65-3.69
Tm (0.4056, 0.5944, 0.7500)  8 Nd 3.49-3.85, 2 La 3.63
Tm (0.5944, 0.4056, 0.2500)  8 Nd 3.49-3.85, 2 La 3.63

The following is a DFT calculation (PBE) of a geometry-optimized Ta3Br structure.

Summary:
E_form (uncorrected): 0.79 eV per atom
Offset from the most stable computed form: 0.4424 eV per atom
Symmetry: P6_3/mmc, No. 194

Unit cell a=5.9701 b=5.9701 c=9.8756 alpha=90.00 beta=90.00 gamma=120.00
Closest atoms and distances in Å follow each position.
Positions (direct):
Ta (0.0000, 0.5000, 0.0000)  8 Ta 2.98-2.99, 4 Br 2.99-3.01
Ta (0.0000, 0.5000, 0.5000)  8 Ta 2.98-2.99, 4 Br 2.99-3.01
Ta (0.1794, 0.3588, 0.2500)  6 Ta 2.76-2.98, 2 Br 2.99
Ta (0.1794, 0.8206, 0.2500)  6 Ta 2.76-2.98, 2 Br 2.99
Ta (0.3588, 0.1794, 0.7500)  6 Ta 2.76-2.98, 2 Br 2.99
Ta (0.5000, 0.0000, 0.0000)  8 Ta 2.98-2.99, 4 Br 2.99-3.01
Ta (0.5000, 0.0000, 0.5000)  8 Ta 2.98-2.99, 4 Br 2.99-3.01
Ta (0.5000, 0.5000, 0.0000)  8 Ta 2.98-2.99, 4 Br 2.99-3.01
Ta (0.5000, 0.5000, 0.5000)  8 Ta 2.98-2.99, 4 Br 2.99-3.01
Ta (0.6412, 0.8206, 0.2500)  6 Ta 2.76-2.98, 2 Br 2.99
Ta (0.8206, 0.1794, 0.7500)  6 Ta 2.76-2.98, 2 Br 2.99
Ta (0.8206, 0.6412, 0.7500)  6 Ta 2.76-2.98, 2 Br 2.99
Br (0.0000, 0.0000, 0.0000)  12 Ta 2.99-3.09
Br (0.0000, 0.0000, 0.5000)  12 Ta 2.99-3.09
Br (0.3333, 0.6667, 0.7500)  12 Ta 2.99-3.01
Br (0.6667, 0.3333, 0.2500)  12 Ta 2.99-3.01

The following is a DFT calculation (PBE) of a geometry-optimized Ba2OsW structure.

Summary:
Offset from the most stable computed form: 0.3255 eV per atom
Symmetry: Imm2, No. 44

Unit cell a=6.7318 b=6.7318 c=6.7318 alpha=146.62 beta=130.72 gamma=60.83
Closest atoms and distances in Å follow each position.
Positions (direct):
Ba (0.0000, 0.0000, 0.0000)  4 W 3.56, 4 Os 3.71-3.89, 6 Ba 3.77-3.87
Ba (0.7166, 0.2166, 0.5000)  4 Os 3.51, 2 W 3.60, 6 Ba 3.77-3.87
Os (0.2906, 0.7906, 0.5000)  2 W 2.39
W (0.4111, 0.4111, 0.0000)  2 Os 2.39

> Which formula does entry 1 have?

La2Nd6YTm